The following is a DFT calculation (GGA+U) of a geometry-optimized HfNb2CoF structure.

Summary:
Energy   -6.646 eV/atom

Unit cell a=5.1486 b=5.1486 c=3.9612 alpha=90.00 beta=90.00 gamma=90.00
Last column: nearest neighbours and their distance in Å.
Space group P4/mmm (No. 123)
Unique sites:
Hf (0.0000, 0.0000, 0.0000) [1 per cell]  2 F 1.98
Nb (0.0000, 0.5000, 0.0000) [2 per cell]  2 Hf 2.57
Co (0.5000, 0.5000, 0.5000) [1 per cell]  8 Nb 3.25
F (0.0000, 0.0000, 0.5000) [1 per cell]  2 Hf 1.98